w) The following is a DFT calculation (PBE with a Hubbard U) of a relaxed MnIF2 crystal.

Cell lengths 9.752, 9.752, 9.752 Å; angles 19.86, 19.86, 19.86 degrees
Atoms (fractional coordinates):
Mn 0.000 0.000 0.000
I 0.500 0.500 0.500
F 0.367 0.367 0.367
F 0.633 0.633 0.633

Mass density: 3.90 g cm⁻³

=====

x) The following is a DFT calculation (PBE with a Hubbard U) of a relaxed MnIF2 crystal.

Cell lengths 9.983, 9.983, 9.983 Å; angles 19.61, 19.61, 19.61 degrees
Atoms (fractional coordinates):
Mn 0.000 0.000 0.000
I 0.500 0.500 0.500
F 0.062 0.062 0.062
F 0.938 0.938 0.938

Mass density: 3.72 g cm⁻³

=====

y) The following is a DFT calculation (PBE with a Hubbard U) of a relaxed MnIF2 crystal.

Cell lengths 7.386, 7.386, 8.151 Å; angles 90.00, 90.00, 155.63 degrees
Atoms (fractional coordinates):
Mn 0.168 0.832 0.750
Mn 0.832 0.168 0.250
I 0.040 0.960 0.250
I 0.960 0.040 0.750
F 0.323 0.677 0.094
F 0.323 0.677 0.406
F 0.677 0.323 0.594
F 0.677 0.323 0.906

Mass density: 3.98 g cm⁻³

=====

z) The following is a DFT calculation (PBE with a Hubbard U) of a relaxed MnIF2 crystal.

Cell lengths 4.582, 4.582, 4.582 Å; angles 60.00, 60.00, 60.00 degrees
Atoms (fractional coordinates):
Mn 0.000 0.000 0.000
I 0.500 0.500 0.500
F 0.250 0.250 0.250
F 0.750 0.750 0.750

Mass density: 5.37 g cm⁻³

=====

If we sort the structures by their calculated energies, the order from most to least stable is w), y), x), z).

=====

w) The following is a DFT calculation (PBE with a Hubbard U) of a relaxed MnI2F crystal.

Cell lengths 5.059, 5.059, 5.059 Å; angles 60.00, 60.00, 60.00 degrees
Atoms (fractional coordinates):
Mn 0.000 0.000 0.000
I 0.250 0.250 0.250
I 0.750 0.750 0.750
F 0.500 0.500 0.500

Mass density: 5.95 g cm⁻³

=====

x) The following is a DFT calculation (PBE with a Hubbard U) of a relaxed MnI2F crystal.

Cell lengths 7.111, 7.111, 7.111 Å; angles 119.87, 119.87, 90.23 degrees
Atoms (fractional coordinates):
Mn 0.000 0.000 0.000
Mn 0.750 0.250 0.500
I 0.112 0.625 0.987
I 0.375 0.362 0.487
I 0.638 0.125 0.013
I 0.875 0.888 0.513
F 0.250 0.750 0.500
F 0.500 0.500 0.000

Mass density: 4.27 g cm⁻³

=====

y) The following is a DFT calculation (PBE with a Hubbard U) of a relaxed MnI2F crystal.

Cell lengths 3.715, 3.715, 9.524 Å; angles 101.20, 101.20, 61.18 degrees
Atoms (fractional coordinates):
Mn 0.000 0.000 0.000
I 0.105 0.105 0.328
I 0.592 0.592 0.769
F 0.349 0.349 0.043

Mass density: 4.85 g cm⁻³

=====

If we sort the structures by their calculated energies, the order from most to least stable is y), x), w).

=====

w) The following is a DFT calculation (PBE with a Hubbard U) of a relaxed MnI3F crystal.

Cell lengths 5.347, 5.347, 5.347 Å; angles 90.00, 90.00, 90.00 degrees
Atoms (fractional coordinates):
Mn 0.000 0.000 0.000
I 0.000 0.500 0.500
I 0.500 0.000 0.500
I 0.500 0.500 0.000
F 0.500 0.500 0.500

Mass density: 4.94 g cm⁻³

=====

x) The following is a DFT calculation (PBE with a Hubbard U) of a relaxed MnI3F crystal.

Cell lengths 5.476, 5.476, 5.476 Å; angles 90.00, 90.00, 90.00 degrees
Atoms (fractional coordinates):
Mn 0.000 0.000 0.000
I 0.000 0.000 0.500
I 0.000 0.500 0.000
I 0.500 0.000 0.000
F 0.500 0.500 0.500

Mass density: 4.60 g cm⁻³

=====

If we sort the structures by their calculated energies, the order from most to least stable is x), w).

=====

w) The following is a DFT calculation (PBE with a Hubbard U) of a relaxed MnI2NF crystal.

Cell lengths 5.637, 5.637, 3.839 Å; angles 90.00, 90.00, 90.00 degrees
Atoms (fractional coordinates):
Mn 0.000 0.000 0.000
I 0.000 0.500 0.500
I 0.500 0.000 0.500
N 0.500 0.500 0.000
F 0.500 0.500 0.500

Mass density: 4.65 g cm⁻³

=====

x) The following is a DFT calculation (PBE with a Hubbard U) of a relaxed MnI2NF crystal.

Cell lengths 5.638, 5.638, 3.665 Å; angles 90.00, 90.00, 90.00 degrees
Atoms (fractional coordinates):
Mn 0.000 0.000 0.000
I 0.000 0.500 0.000
I 0.500 0.000 0.000
N 0.000 0.000 0.500
F 0.500 0.500 0.500

Mass density: 4.87 g cm⁻³

=====

If we sort the structures by their calculated energies, the order from most to least stable is x), w).

=====

w) The following is a DFT calculation (PBE with a Hubbard U) of a relaxed MnIN2F crystal.

Cell lengths 3.601, 3.601, 5.536 Å; angles 90.00, 90.00, 90.00 degrees
Atoms (fractional coordinates):
Mn 0.000 0.000 0.000
I 0.000 0.000 0.500
N 0.000 0.500 0.000
N 0.500 0.000 0.000
F 0.500 0.500 0.500

Mass density: 5.29 g cm⁻³

=====

x) The following is a DFT calculation (PBE with a Hubbard U) of a relaxed MnIN2F crystal.

Cell lengths 4.195, 4.195, 4.637 Å; angles 90.00, 90.00, 90.00 degrees
Atoms (fractional coordinates):
Mn 0.000 0.000 0.000
I 0.500 0.500 0.000
N 0.000 0.500 0.500
N 0.500 0.000 0.500
F 0.500 0.500 0.500

Mass density: 4.66 g cm⁻³

=====

y) The following is a DFT calculation (PBE with a Hubbard U) of a relaxed MnIN2F crystal.

Cell lengths 3.935, 3.935, 3.923 Å; angles 90.00, 90.00, 90.00 degrees
Atoms (fractional coordinates):
Mn 0.000 0.000 0.000
I 0.500 0.500 0.500
N 0.000 0.500 0.000
N 0.500 0.000 0.000
F 0.000 0.000 0.500

Mass density: 6.26 g cm⁻³

=====

If we sort the structures by their calculated energies, the order from most to least stable is y), w), x).

=====

w) The following is a DFT calculation (PBE with a Hubbard U) of a relaxed Mn2IOF crystal.

Cell lengths 4.342, 4.342, 5.595 Å; angles 90.00, 90.00, 90.00 degrees
Atoms (fractional coordinates):
Mn 0.000 0.500 0.000
Mn 0.500 0.000 0.000
I 0.000 0.000 0.500
O 0.500 0.500 0.500
F 0.000 0.000 0.000

Mass density: 4.28 g cm⁻³

=====

x) The following is a DFT calculation (PBE with a Hubbard U) of a relaxed Mn2IOF crystal.

Cell lengths 6.356, 6.356, 8.068 Å; angles 98.45, 98.45, 35.27 degrees
Atoms (fractional coordinates):
Mn 0.085 0.085 0.274
Mn 0.379 0.379 0.054
Mn 0.621 0.621 0.946
Mn 0.915 0.915 0.726
I 0.153 0.153 0.635
I 0.847 0.847 0.365
O 0.454 0.454 0.824
O 0.546 0.546 0.176
F 0.186 0.186 0.053
F 0.814 0.814 0.947

Mass density: 4.85 g cm⁻³

=====

If we sort the structures by their calculated energies, the order from most to least stable is x), w).

=====

w) The following is a DFT calculation (PBE with a Hubbard U) of a relaxed MnTeI2F crystal.

Cell lengths 5.978, 5.978, 4.268 Å; angles 90.00, 90.00, 90.00 degrees
Atoms (fractional coordinates):
Mn 0.000 0.000 0.000
Te 0.500 0.500 0.000
I 0.000 0.500 0.500
I 0.500 0.000 0.500
F 0.500 0.500 0.500

Mass density: 4.96 g cm⁻³

=====

x) The following is a DFT calculation (PBE with a Hubbard U) of a relaxed MnTeI2F crystal.

Cell lengths 5.532, 5.532, 5.513 Å; angles 90.00, 90.00, 90.00 degrees
Atoms (fractional coordinates):
Mn 0.000 0.000 0.000
Te 0.000 0.000 0.500
I 0.000 0.500 0.000
I 0.500 0.000 0.000
F 0.500 0.500 0.500

Mass density: 4.48 g cm⁻³

=====

If we sort the structures by their calculated energies, the order from most to least stable is w), x).

=====

w) The following is a DFT calculation (PBE with a Hubbard U) of a relaxed MoI3F crystal.

Cell lengths 5.361, 5.361, 5.361 Å; angles 90.00, 90.00, 90.00 degrees
Atoms (fractional coordinates):
Mo 0.000 0.000 0.000
I 0.000 0.500 0.500
I 0.500 0.000 0.500
I 0.500 0.500 0.000
F 0.500 0.500 0.500

Mass density: 5.34 g cm⁻³

=====

x) The following is a DFT calculation (PBE with a Hubbard U) of a relaxed MoI3F crystal.

Cell lengths 5.649, 5.649, 5.649 Å; angles 90.00, 90.00, 90.00 degrees
Atoms (fractional coordinates):
Mo 0.000 0.000 0.000
I 0.000 0.000 0.500
I 0.000 0.500 0.000
I 0.500 0.000 0.000
F 0.500 0.500 0.500

Mass density: 4.57 g cm⁻³

=====

If we sort the structures by their calculated energies, the order from most to least stable is x), w).

=====

w) The following is a DFT calculation (PBE with a Hubbard U) of a relaxed Mo3IF crystal.

Cell lengths 5.910, 5.910, 5.910 Å; angles 90.00, 90.00, 90.00 degrees
Atoms (fractional coordinates):
Mo 0.000 0.000 0.500
Mo 0.000 0.500 0.000
Mo 0.500 0.000 0.000
I 0.000 0.000 0.000
F 0.500 0.500 0.500

Mass density: 3.49 g cm⁻³

=====

x) The following is a DFT calculation (PBE with a Hubbard U) of a relaxed Mo3IF crystal.

Cell lengths 4.563, 4.563, 4.563 Å; angles 90.00, 90.00, 90.00 degrees
Atoms (fractional coordinates):
Mo 0.000 0.000 0.500
Mo 0.000 0.500 0.000
Mo 0.500 0.000 0.000
I 0.500 0.500 0.500
F 0.000 0.000 0.000

Mass density: 7.58 g cm⁻³

=====

If we sort the structures by their calculated energies, the order from most to least stable is w), x).

=====

w) The following is a DFT calculation (PBE with a Hubbard U) of a relaxed MoINF2 crystal.

Cell lengths 4.232, 4.232, 4.359 Å; angles 90.00, 90.00, 90.00 degrees
Atoms (fractional coordinates):
Mo 0.000 0.000 0.000
I 0.500 0.500 0.500
N 0.000 0.000 0.500
F 0.000 0.500 0.000
F 0.500 0.000 0.000

Mass density: 5.84 g cm⁻³

=====

x) The following is a DFT calculation (PBE with a Hubbard U) of a relaxed MoINF2 crystal.

Cell lengths 4.855, 4.855, 4.040 Å; angles 90.00, 90.00, 90.00 degrees
Atoms (fractional coordinates):
Mo 0.000 0.000 0.000
I 0.500 0.500 0.500
N 0.500 0.500 0.000
F 0.000 0.500 0.500
F 0.500 0.000 0.500

Mass density: 4.79 g cm⁻³

=====

If we sort the structures by their calculated energies, the order from most to least stable is w), x).

=====

w) The following is a DFT calculation (PBE with a Hubbard U) of a relaxed Te2MoIF crystal.

Cell lengths 5.414, 5.414, 5.667 Å; angles 90.00, 90.00, 90.00 degrees
Atoms (fractional coordinates):
Te 0.000 0.500 0.000
Te 0.500 0.000 0.000
Mo 0.000 0.000 0.000
I 0.000 0.000 0.500
F 0.500 0.500 0.500

Mass density: 4.97 g cm⁻³

=====

x) The following is a DFT calculation (PBE with a Hubbard U) of a relaxed Te2MoIF crystal.

Cell lengths 4.650, 4.650, 7.061 Å; angles 90.00, 90.00, 90.00 degrees
Atoms (fractional coordinates):
Te 0.000 0.500 0.000
Te 0.500 0.000 0.000
Mo 0.000 0.000 0.500
I 0.500 0.500 0.500
F 0.500 0.500 0.000

Mass density: 5.41 g cm⁻³

=====

If we sort the structures by their calculated energies, the order from most to least stable is x), w).